First-principles (GGA-PBE) data for a relaxed HfTl2IrF crystal, as listed in Alexandria via LeMat-Bulk.

abc: 4.8423 4.8423 4.2824
angles: 90.00 90.00 90.00
Closest atoms and distances in Å follow each position.
Space group P4/mmm (No. 123)
Symmetry-distinct sites (fractional):
1 Hf 0.0000 0.0000 0.0000 (multiplicity 1)  2 F 2.14
2 Tl 0.0000 0.5000 0.5000 (multiplicity 2)  2 F 2.42
3 Ir 0.5000 0.5000 0.0000 (multiplicity 1)  8 Tl 3.23, 4 Hf 3.42
4 F 0.0000 0.0000 0.5000 (multiplicity 1)  2 Hf 2.14

Results
Crystal system   tetragonal
VASP energy   -25.3 eV for the cell shown
DOS(E_F)   4.1 states/eV/cell
Formation energy from raw total energies   27 meV/atom
Total magnetization   0.0 μB/f.u.